Entry from the Alexandria database: a geometry-optimized MgFeCo structure (GGA-PBEsol).

a = 2.6650 Å, b = 2.6650 Å, c = 6.2699 Å
α = 90.00°, β = 90.00°, γ = 120.00°
Space group P3m1 (No. 156)
Unique sites:
Mg (0.0000, 0.0000, 0.0000) [1 per cell]
Fe (0.6667, 0.3333, 0.3618) [1 per cell]
Co (0.3333, 0.6667, 0.6536) [1 per cell]

Values from the calculation:
Distance to the lowest polymorph of the same formula ... 39 meV/atom
E_tot ... -5.82 eV/atom